Entry 1:
Material: La3In4Ge
Method: DFT, PBE
State: relaxed

Values from the calculation:
Crystal system   tetragonal
SG   I4/mcm

```
La3In4Ge
1.0
-4.3382 4.3382 6.0993
4.3382 -4.3382 6.0993
4.3382 4.3382 -6.0993
La Ge In
6 2 8
Direct
0.2500 0.2500 0.0000 La
0.6649 0.1649 0.8298 La
0.8351 0.6649 0.5000 La
0.1649 0.3351 0.5000 La
0.3351 0.8351 0.1702 La
0.7500 0.7500 0.0000 La
0.5000 0.5000 0.0000 Ge
0.0000 0.0000 0.0000 Ge
0.9606 0.4606 0.7845 In
0.1761 0.9606 0.5000 In
0.4606 0.6761 0.5000 In
0.6761 0.1761 0.2155 In
0.5394 0.3239 0.5000 In
0.0394 0.5394 0.2155 In
0.8239 0.0394 0.5000 In
0.3239 0.8239 0.7845 In
```


Entry 2:
Material: In2SnAu3
Method: DFT, PBE
State: relaxed

Values from the calculation:
Distance to the lowest polymorph of the same formula   0.000 eV per atom
Crystal system   monoclinic
SG   C2/c

```
In2SnAu3
1.0
-3.5211 -4.5238 0.7296
4.3499 -4.0870 -4.3475
4.1816 1.4013 5.9838
Au Sn In
6 2 4
Direct
0.8344 0.4157 0.6675 Au
0.4988 0.7500 0.0000 Au
0.1669 0.0843 0.3325 Au
0.8331 0.9157 0.6675 Au
0.1656 0.5843 0.3325 Au
0.5012 0.2500 0.0000 Au
0.0012 0.2500 0.0000 Sn
0.9988 0.7500 0.0000 Sn
0.3335 0.4173 0.6656 In
0.6679 0.0827 0.3344 In
0.6665 0.5827 0.3344 In
0.3321 0.9173 0.6656 In
```


Formation energy from the elements for the records above, in order: -4.83 -0.94 eV per formula unit